Material: Rb3Y2TiTe6
Method: DFT, PBE
State: optimized geometry

a b c (Å): 7.6689 7.6689 8.8936
angles (deg): 98.29 98.29 120.01
Closest atoms and distances in Å follow each position.
Positions (direct):
Ti1 0.0000 0.0000 0.0000  6 Te 2.92-2.93
Y1 0.6659 0.3341 0.0000  6 Te 3.10-3.11
Y2 0.3341 0.6659 0.0000  6 Te 3.10-3.11
Rb1 0.5000 0.5000 0.5000  6 Te 3.61-3.75
Rb2 0.1725 0.8275 0.5000  6 Te 3.61-3.71
Rb3 0.8275 0.1725 0.5000  6 Te 3.61-3.71
Te1 0.2489 0.2489 0.8049  1 Ti 2.93, 2 Y 3.11
Te2 0.6213 0.9359 0.8071  1 Ti 2.92, 2 Y 3.10-3.11
Te3 0.3787 0.0641 0.1929  1 Ti 2.92, 2 Y 3.10-3.11
Te4 0.0641 0.3787 0.1929  1 Ti 2.92, 2 Y 3.10-3.11
Te5 0.7511 0.7511 0.1951  1 Ti 2.93, 2 Y 3.11
Te6 0.9359 0.6213 0.8071  1 Ti 2.92, 2 Y 3.10-3.11

The calculation puts the energy relative to the elements, uncorrected at -1176 meV/atom.

Material: VCr2HRh
Method: DFT, PBE
State: optimized geometry

a b c (Å): 3.7031 3.7031 3.8939
angles (deg): 90.00 90.00 90.00
Closest atoms and distances in Å follow each position.
Positions (direct):
Cr1 0.5000 0.0000 0.0000  2 H 1.85
Cr2 0.0000 0.5000 0.0000  2 H 1.85
H1 0.0000 0.0000 0.0000  4 Cr 1.85, 2 Rh 1.95
V1 0.5000 0.5000 0.5000  4 Rh 2.62, 8 Cr 2.69
Rh1 0.0000 0.0000 0.5000  2 H 1.95

Raw total energy readings, ordered: -4.724; -7.784 eV/atom
N(E_F) readings, ordered: 0.4949; 1.2475 states/eV/atom